A relaxed ZrTa2Pt crystal, computed with PBE-GGA.

Geometry as POSCAR:
```
ZrTa2Pt
1.0
5.474 -0.239 0.176
4.481 3.152 0.176
1.717 0.503 4.096
Pt Ta Zr
1 2 1
Direct
0.250 0.250 0.250
0.995 0.995 0.005
0.505 0.505 0.495
0.750 0.750 0.750
```

Computed properties:
space-group type	Immm (71)
energy of formation from the pure elements	-0.34	eV/atom
total moment	0.0	μB per formula unit

A relaxed AcPaP2Rh5 crystal, computed with PBE-GGA.

Geometry as POSCAR:
```
AcPaP2Rh5
1.0
-1.153 -1.883 -3.455
0.808 -3.637 1.713
-10.055 -0.518 3.639
Ac Pa P Rh
1 1 2 5
Direct
0.500 0.500 0.500
0.000 0.000 0.000
0.000 0.000 0.713
0.000 0.000 0.287
0.000 0.000 0.500
0.000 0.500 0.817
0.500 0.000 0.183
0.000 0.500 0.183
0.500 0.000 0.817
```

Computed properties:
space-group type	P4/mmm (123)
energy of formation from the pure elements	-0.71	eV/atom
total moment	0.0	μB per formula unit

A relaxed Ba2In4Ga crystal, computed with PBE-GGA.

Geometry as POSCAR:
```
Ba2In4Ga
1.0
-0.143 -4.051 3.661
-0.802 -3.607 -4.022
8.291 -4.872 -0.992
Ba Ga In
2 1 4
Direct
0.647 0.647 0.706
0.353 0.353 0.294
0.000 0.000 0.000
0.848 0.848 0.304
0.152 0.152 0.696
0.000 0.500 0.000
0.500 0.000 0.000
```

Computed properties:
space-group type	I4/mmm (139)
energy of formation from the pure elements	-0.15	eV/atom
total moment	0.0	μB per formula unit

A relaxed La2Tb6Ho3Mg crystal, computed with PBE-GGA.

Geometry as POSCAR:
```
La2Tb6Ho3Mg
1.0
-0.281 3.601 4.989
4.293 -4.399 -0.391
5.919 7.816 -6.589
La Tb Ho Mg
2 6 3 1
Direct
0.333 0.667 0.000
0.667 0.333 0.000
0.916 0.586 0.746
0.753 0.753 0.255
0.084 0.414 0.254
0.586 0.916 0.746
0.247 0.247 0.745
0.414 0.084 0.254
0.166 0.834 0.500
0.834 0.166 0.500
0.500 0.500 0.500
0.000 0.000 0.000
```

Computed properties:
space-group type	C2/m (12)
energy of formation from the pure elements	0.02	eV/atom
total moment	0.0	μB per formula unit

A relaxed Ac6Rh3Se2S crystal, computed with PBE-GGA.

Geometry as POSCAR:
```
Ac6Rh3Se2S
1.0
-1.322 -0.268 -4.091
7.790 -4.124 -2.248
-5.756 -6.858 4.577
Ac Rh Se S
6 3 2 1
Direct
0.330 0.932 0.661
0.660 0.598 0.320
0.670 0.068 0.339
0.994 0.258 0.989
0.006 0.742 0.011
0.340 0.402 0.680
0.500 0.500 0.000
0.833 0.165 0.667
0.167 0.835 0.333
0.833 0.667 0.667
0.167 0.333 0.333
0.500 0.000 0.000
```

Computed properties:
space-group type	C2/m (12)
formation energy from raw total energies	-15.2	eV/f.u.
total moment	0.0	μB per formula unit

A relaxed Ac3HgPt crystal, computed with PBE-GGA.

Geometry as POSCAR:
```
Ac3HgPt
1.0
-3.721 1.420 4.356
4.327 -0.756 3.942
1.507 5.679 -0.564
Ac Hg Pt
3 1 1
Direct
0.000 0.500 0.000
0.000 0.000 0.500
0.500 0.000 0.000
0.500 0.500 0.500
0.000 0.000 0.000
```

Computed properties:
space-group type	Pm-3m (221)
energy of formation from the pure elements	-0.41	eV/atom
total moment	0.0	μB per formula unit

A relaxed NbOs3S crystal, computed with PBE-GGA.

Geometry as POSCAR:
```
NbOs3S
1.0
-2.813 -3.615 1.482
3.716 -1.912 2.390
-1.206 2.540 3.908
Nb Os S
1 3 1
Direct
0.000 0.000 0.000
0.000 0.500 0.000
0.000 0.000 0.500
0.500 0.000 0.000
0.500 0.500 0.500
```

Computed properties:
space-group type	Pm-3m (221)
formation energy from raw total energies	13.4	eV/f.u.
total moment	4.6	μB per formula unit

A relaxed Nd6AsOs2Br3 crystal, computed with PBE-GGA.

Geometry as POSCAR:
```
Nd6AsOs2Br3
1.0
7.317 0.000 -0.004
-3.657 6.338 -0.004
-1.224 -2.120 7.639
Nd As Os Br
6 1 2 3
Direct
0.934 0.583 0.801
0.715 0.715 0.199
0.066 0.417 0.199
0.583 0.934 0.801
0.285 0.285 0.801
0.417 0.066 0.199
0.000 0.000 0.000
0.333 0.667 0.000
0.667 0.333 0.000
0.163 0.837 0.500
0.837 0.163 0.500
0.500 0.500 0.500
```

Computed properties:
space-group type	C2/m (12)
formation energy from raw total energies	-11.1	eV/f.u.
total moment	0.0	μB per formula unit

A relaxed Pm8Co3CuCl4 crystal, computed with PBE-GGA.

Geometry as POSCAR:
```
Pm8Co3CuCl4
1.0
-5.033 4.763 3.929
2.077 -4.002 7.512
5.988 3.140 -4.212
Pm Co Cu Cl
8 3 1 4
Direct
0.241 0.703 0.963
0.241 0.703 0.481
0.266 0.298 0.532
0.722 0.703 0.963
0.278 0.297 0.037
0.734 0.702 0.468
0.759 0.297 0.519
0.759 0.297 0.037
0.500 0.500 0.000
0.500 0.500 0.500
0.000 0.500 0.500
0.000 0.500 0.000
0.500 0.000 0.000
0.500 0.000 0.500
0.000 0.000 0.000
0.000 0.000 0.500
```

Computed properties:
space-group type	C2/m (12)
formation energy from raw total energies	-13.1	eV/f.u.
total moment	0.0	μB per formula unit

A relaxed TeOsF2 crystal, computed with PBE-GGA.

Geometry as POSCAR:
```
TeOsF2
1.0
-1.895 -6.603 -3.347
6.556 0.107 -3.923
3.475 -4.528 -1.758
Te Os F
2 2 4
Direct
0.500 0.500 0.000
0.250 0.750 0.500
0.000 0.000 0.000
0.750 0.250 0.500
0.762 0.125 0.250
0.988 0.625 0.250
0.375 0.238 0.750
0.875 0.012 0.750
```

Computed properties:
space-group type	I-42d (122)
formation energy from raw total energies	-0.6	eV/f.u.
total moment	0.0	μB per formula unit

A relaxed Ta2TeAs crystal, computed with PBE-GGA.

Geometry as POSCAR:
```
Ta2TeAs
1.0
3.126 0.006 0.000
-1.211 2.882 0.000
0.000 0.000 8.660
As Te Ta
1 1 2
Direct
0.500 0.500 0.750
0.500 0.500 0.250
0.000 0.000 0.975
0.000 0.000 0.525
```

Computed properties:
space-group type	Cmmm (65)
formation energy from raw total energies	1.4	eV/f.u.
total moment	0.0	μB per formula unit

A relaxed Li2Zn2As crystal, computed with PBE-GGA.

Geometry as POSCAR:
```
Li2Zn2As
1.0
-1.354 4.834 5.041
-6.321 -3.031 1.209
1.330 -1.903 2.182
As Zn Li
2 4 4
Direct
0.000 0.000 0.000
0.500 0.500 0.000
0.138 0.638 0.500
0.638 0.862 0.500
0.862 0.362 0.500
0.362 0.138 0.500
0.343 0.843 0.000
0.843 0.657 0.000
0.657 0.157 0.000
0.157 0.343 0.000
```

Computed properties:
space-group type	P4/mbm (127)
energy of formation from the pure elements	-0.06	eV/atom
total moment	0.0	μB per formula unit

A relaxed Pr6HoPb10 crystal, computed with PBE-GGA.

Geometry as POSCAR:
```
Pr6HoPb10
1.0
-2.450 4.842 3.773
-5.733 2.742 -7.242
-3.084 -6.531 6.378
Pr Ho Pb
6 1 10
Direct
0.736 0.389 0.389
0.736 0.000 0.611
0.736 0.611 0.000
0.264 0.611 0.611
0.264 0.000 0.389
0.264 0.389 0.000
0.500 0.000 0.000
0.798 0.745 0.745
0.798 0.000 0.255
0.798 0.255 0.000
0.202 0.255 0.255
0.202 0.000 0.745
0.202 0.745 0.000
0.500 0.333 0.667
0.500 0.667 0.333
0.000 0.667 0.333
0.000 0.333 0.667
```

Computed properties:
space-group type	P-31m (162)
energy of formation from the pure elements	-0.41	eV/atom
total moment	0.0	μB per formula unit

A relaxed Sb2Ir2Os crystal, computed with PBE-GGA.

Geometry as POSCAR:
```
Sb2Ir2Os
1.0
4.137 0.000 0.000
0.000 4.137 0.000
2.068 2.068 5.741
Sb Ir Os
2 2 1
Direct
0.750 0.250 0.500
0.250 0.750 0.500
0.391 0.391 0.219
0.609 0.609 0.781
0.000 0.000 0.000
```

Computed properties:
space-group type	I4/mmm (139)
formation energy from raw total energies	4.7	eV/f.u.
total moment	1.7	μB per formula unit

A relaxed Zr4AlPt crystal, computed with PBE-GGA.

Geometry as POSCAR:
```
Zr4AlPt
1.0
5.332 -0.217 -1.374
-3.248 4.235 -1.374
0.112 0.217 5.505
Zr Al Pt
4 1 1
Direct
0.595 0.095 0.189
0.905 0.405 0.811
0.095 0.905 0.500
0.405 0.595 0.500
0.000 0.000 0.000
0.500 0.500 0.000
```

Computed properties:
space-group type	I422 (97)
energy of formation from the pure elements	-0.55	eV/atom
total moment	0.0	μB per formula unit

A relaxed LiCr2Ni crystal, computed with PBE-GGA.

Geometry as POSCAR:
```
LiCr2Ni
1.0
-2.551 1.971 2.557
-2.014 -3.517 0.712
4.068 0.200 0.587
Cr Li Ni
2 1 1
Direct
0.000 0.000 0.000
0.250 0.750 0.500
0.500 0.500 0.000
0.750 0.250 0.500
```

Computed properties:
space-group type	F-43m (216)
energy of formation from the pure elements	0.28	eV/atom
total moment	0.4	μB per formula unit

A relaxed TaSiTe3 crystal, computed with PBE-GGA.

Geometry as POSCAR:
```
TaSiTe3
1.0
5.124 0.000 0.000
0.000 5.124 0.000
0.000 0.000 5.124
Si Te Ta
1 3 1
Direct
0.000 0.000 0.000
0.000 0.500 0.000
0.000 0.000 0.500
0.500 0.000 0.000
0.500 0.500 0.500
```

Computed properties:
space-group type	Pm-3m (221)
formation energy from raw total energies	5.1	eV/f.u.
total moment	1.8	μB per formula unit

A relaxed SrY2Cu crystal, computed with PBE-GGA.

Geometry as POSCAR:
```
SrY2Cu
1.0
-4.698 -2.457 1.024
1.949 -2.202 3.659
-1.247 3.553 2.802
Cu Sr Y
1 1 2
Direct
0.500 0.500 0.000
0.500 0.000 0.500
0.000 0.000 0.000
0.000 0.500 0.500
```

Computed properties:
space-group type	P4/mmm (123)
energy of formation from the pure elements	0.30	eV/atom
total moment	0.0	μB per formula unit

A relaxed LiSiIrPb2 crystal, computed with PBE-GGA.

Geometry as POSCAR:
```
LiSiIrPb2
1.0
-2.595 -2.034 4.352
0.124 -4.097 -1.841
4.801 -0.943 2.422
Pb Si Ir Li
2 1 1 1
Direct
0.000 0.000 0.500
0.500 0.000 0.000
0.000 0.000 0.000
0.000 0.500 0.000
0.500 0.500 0.500
```

Computed properties:
space-group type	P4/mmm (123)
formation energy from raw total energies	2.0	eV/f.u.
total moment	0.0	μB per formula unit

Taking the records one at a time from the top gives DOS(E_F) values of 3.8; 4.7; 4.9; 17.9; 7.6; 8.5; 6.7; 10.5; 9.8; 8.4; 3.8; 2.5; 12.7; 2.7; 6.2; 5.4; 3.2; 4.7; 1.7 states/eV/cell.